10
Lattice="-3.491 -3.432 5.558 4.486 -5.840 -0.788 2.170 1.369 2.208" Properties=species:S:1:pos:R:3 comment="Zr2TaRh2 | Alexandria via LeMat-Bulk | PBE | optimized geometry" crystal_system=tetragonal dos_at_fermi_per_ev_cell=12.56 e_above_lowest_polymorph_mev_per_atom=0 spacegroup="No. 127" rho_g_cm3=10.2 volume_a3_per_atom=18.57 pbc="T T T"
Zr -0.334 -4.072 5.447
Rh -0.200 -6.668 4.331
Rh 1.196 -2.604 0.439
Zr 2.454 -6.457 4.186
Ta 0.000 0.000 0.000
Zr 0.712 -1.446 2.791
Rh -1.615 -2.933 3.405
Rh 2.610 -6.339 1.364
Zr 3.499 -3.831 1.530
Ta 0.498 -4.636 2.385

---

4
Lattice="4.623 0.000 0.000 0.000 3.027 -0.002 0.000 1.176 5.415" Properties=species:S:1:pos:R:3 comment="Zr2TaRh | Alexandria via LeMat-Bulk | PBE | optimized geometry" crystal_system=monoclinic dos_at_fermi_per_ev_cell=4.76 e_above_lowest_polymorph_mev_per_atom=207 spacegroup="No. 10" rho_g_cm3=10.2 volume_a3_per_atom=18.94 pbc="T T T"
Rh 2.312 1.051 1.353
Zr 0.000 2.038 2.682
Zr 0.000 0.064 0.024
Ta 2.312 3.152 4.059

---

4
Lattice="9.182 0.156 0.092 8.657 3.064 0.092 8.657 1.563 2.637" Properties=species:S:1:pos:R:3 comment="ZrTaRh2 | Alexandria via LeMat-Bulk | PBE | optimized geometry" crystal_system=trigonal dos_at_fermi_per_ev_cell=4.83 spacegroup="No. 166" rho_g_cm3=11.6 final_energy_ev_per_atom=-9.04 volume_a3_per_atom=17.07 pbc="T T T"
Rh 26.389 4.763 2.810
Zr 19.873 3.587 2.116
Rh 13.356 2.411 1.422
Ta 6.624 1.196 0.705

---

4
Lattice="5.081 0.028 0.002 4.227 2.819 0.002 0.782 0.239 4.809" Properties=species:S:1:pos:R:3 comment="ZrTaRh2 | Alexandria via LeMat-Bulk | PBE | optimized geometry" crystal_system=monoclinic dos_at_fermi_per_ev_cell=4.18 spacegroup="No. 8" rho_g_cm3=11.6 final_energy_ev_per_atom=-9.25 volume_a3_per_atom=17.08 pbc="T T T"
Rh 2.625 0.803 1.419
Ta 5.133 1.570 2.125
Rh 9.957 3.046 4.640
Zr 7.508 2.297 3.850

---

5
Lattice="-1.857 0.499 -4.417 2.908 -3.483 -1.616 -3.361 -3.290 1.041" Properties=species:S:1:pos:R:3 comment="ZrTa3Rh | Alexandria via LeMat-Bulk | PBE | optimized geometry" crystal_system=cubic dos_at_fermi_per_ev_cell=8.67 e_above_lowest_polymorph_mev_per_atom=1145 spacegroup="No. 221" rho_g_cm3=10.9 volume_a3_per_atom=22.35 pbc="T T T"
Ta -1.681 -1.645 0.521
Zr 0.000 0.000 0.000
Ta -0.928 0.250 -2.208
Ta 1.454 -1.742 -0.808
Rh -1.155 -3.137 -2.496

---

4
Lattice="-2.881 -0.373 1.681 -0.055 -3.255 -0.818 3.154 -1.337 5.111" Properties=species:S:1:pos:R:3 comment="ZrTaRh2 | Alexandria via LeMat-Bulk | PBE | optimized geometry" crystal_system=tetragonal dos_at_fermi_per_ev_cell=4.23 spacegroup="No. 99" rho_g_cm3=11.5 final_energy_ev_per_atom=-9.21 volume_a3_per_atom=17.33 pbc="T T T"
Rh 3.119 -1.323 5.054
Rh -0.606 -2.180 1.830
Zr 0.986 -2.855 4.408
Ta 1.449 -0.614 2.348